No. 1
Density functional theory data (GGA-PBE) for a relaxed TbHoCd crystal.

Relative energy among the computed polymorphs ... 116 meV/atom
Formation energy from the elements ... -77 meV per atom
VASP energy ... -3.4512 eV per atom
Space group ... P3m1 (156)
D(E_F) ... 3.6 states/eV/cell

Cell: 5.245 5.245 3.557 Å, 90.00 90.00 120.00°
Sites, in units of the cell vectors:
Tb 0.000 0.000 0.000
Ho 0.333 0.667 0.443
Cd 0.667 0.333 0.702



No. 2
Density functional theory data (GGA-PBE) for a relaxed TbHo2Cd crystal.

Relative energy among the computed polymorphs ... 84 meV/atom
Formation energy from the elements ... -63 meV per atom
VASP energy ... -3.7384 eV per atom
Space group ... R3m (160)
D(E_F) ... 5.9 states/eV/cell

Cell: 10.869 10.869 10.869 Å, 19.01 19.01 19.01°
Sites, in units of the cell vectors:
Tb 0.000 0.000 0.000
Ho 0.244 0.244 0.244
Ho 0.422 0.422 0.422
Cd 0.834 0.834 0.834